Below is a PBEsol-optimized structure of Fe2CoRh, with properties calculated at the meta-GGA SCAN level.

```
Fe2CoRh
1.0
3.5481 0.0000 0.0000
0.0000 3.5597 0.0000
0.0000 0.0000 3.5597
Fe Co Rh
2 1 1
Cartesian
0.0000 1.7799 0.0000
0.0000 0.0000 1.7799
1.7740 0.0000 0.0000
1.7740 1.7799 1.7799
```

Values from the calculation:
final energy	-87.372	eV for the cell shown
relative energy among the computed polymorphs	0.176	eV per atom
SG	No. 123
crystal system	tetragonal
D(E_F)	0.865	states/eV/atom